# 1
Entry from the Alexandria database: crystalline Ac12RhPb6 at its relaxed geometry (PBE).

Space group ... R-3
DFT formation energy ... -0.333 eV per atom
Magnetic moment ... 0.001 μB/f.u.
Volume ... 808 Å³ per cell

Cell lengths 9.4481, 9.4481, 9.4481 Å; angles 99.12, 99.12, 99.12 degrees
Last column: nearest neighbours and their distance in Å.
Fractional positions:
Ac  0.4255  0.5594  0.1931  4 Pb 3.41-3.51
Ac  0.9463  0.9994  0.6840  1 Rh 2.95
Ac  0.0537  0.0006  0.3160  1 Rh 2.95
Ac  0.5745  0.4406  0.8069  4 Pb 3.41-3.51
Ac  0.9994  0.6840  0.9463  1 Rh 2.95
Ac  0.8069  0.5745  0.4406  4 Pb 3.41-3.51
Ac  0.6840  0.9463  0.9994  1 Rh 2.95
Ac  0.1931  0.4255  0.5594  4 Pb 3.41-3.51
Ac  0.3160  0.0537  0.0006  1 Rh 2.95
Ac  0.4406  0.8069  0.5745  4 Pb 3.41-3.51
Ac  0.0006  0.3160  0.0537  1 Rh 2.95
Ac  0.5594  0.1931  0.4255  4 Pb 3.41-3.51
Pb  0.6870  0.8774  0.3456  7 Ac 3.41-3.61
Pb  0.1226  0.6544  0.3130  7 Ac 3.41-3.61
Pb  0.6544  0.3130  0.1226  7 Ac 3.41-3.61
Pb  0.3130  0.1226  0.6544  7 Ac 3.41-3.61
Pb  0.8774  0.3456  0.6870  7 Ac 3.41-3.61
Pb  0.3456  0.6870  0.8774  7 Ac 3.41-3.61
Rh  0.0000  0.0000  0.0000  6 Ac 2.95

=====

# 2
Entry from the Alexandria database: crystalline La3NdSe6 at its relaxed geometry (PBE).

Space group ... R-3
Raw formation energy ... -1.965 eV/atom
Magnetic moment ... 0.000 μB/f.u.
Volume ... 678 Å³ per cell
Energy above the lowest structure with this stoichiometry ... 0.0 meV per atom

Cell lengths 8.7867, 8.7867, 8.7867 Å; angles 91.26, 91.26, 91.26 degrees
Last column: nearest neighbours and their distance in Å.
Fractional positions:
Nd  0.5000  0.5000  0.5000  6 Se 2.92
Nd  0.0000  0.0000  0.0000  6 Se 2.96
La  0.4324  0.9237  0.7520  6 Se 2.99-3.07
La  0.9237  0.7520  0.4324  6 Se 2.99-3.07
La  0.2480  0.5676  0.0763  6 Se 2.99-3.07
La  0.5676  0.0763  0.2480  6 Se 2.99-3.07
La  0.0763  0.2480  0.5676  6 Se 2.99-3.07
La  0.7520  0.4324  0.9237  6 Se 2.99-3.07
Se  0.4074  0.1823  0.5368  1 Nd 2.92, 3 La 3.00-3.07
Se  0.4632  0.5926  0.8177  1 Nd 2.92, 3 La 3.00-3.07
Se  0.5926  0.8177  0.4632  1 Nd 2.92, 3 La 3.00-3.07
Se  0.0907  0.9220  0.6859  1 Nd 2.96, 3 La 2.99-3.07
Se  0.9093  0.0780  0.3141  1 Nd 2.96, 3 La 2.99-3.07
Se  0.5368  0.4074  0.1823  1 Nd 2.92, 3 La 3.00-3.07
Se  0.3141  0.9093  0.0780  1 Nd 2.96, 3 La 2.99-3.07
Se  0.9220  0.6859  0.0907  1 Nd 2.96, 3 La 2.99-3.07
Se  0.1823  0.5368  0.4074  1 Nd 2.92, 3 La 3.00-3.07
Se  0.0780  0.3141  0.9093  1 Nd 2.96, 3 La 2.99-3.07
Se  0.6859  0.0907  0.9220  1 Nd 2.96, 3 La 2.99-3.07
Se  0.8177  0.4632  0.5926  1 Nd 2.92, 3 La 3.00-3.07

=====

# 3
Entry from the Alexandria database: crystalline CaPr2Sn3Pd4 at its relaxed geometry (PBE).

Space group ... P-4m2
DFT formation energy ... -0.768 eV per atom
Magnetic moment ... 0.000 μB/f.u.
Volume ... 236 Å³ per cell

Cell lengths 4.6071, 4.6071, 11.1318 Å; angles 90.00, 90.00, 90.00 degrees
Last column: nearest neighbours and their distance in Å.
Fractional positions:
Pd  0.0000  0.0000  0.0000  4 Sn 2.69
Pd  0.5000  0.5000  0.0000  4 Sn 2.69
Pd  0.5000  0.0000  0.6424  3 Sn 2.60-2.80, 2 Ca 2.80
Pd  0.0000  0.5000  0.3576  3 Sn 2.60-2.80, 2 Ca 2.80
Pr  0.5000  0.0000  0.2218  8 Pd 3.38-3.59, 4 Sn 3.43
Pr  0.0000  0.5000  0.7782  8 Pd 3.38-3.59, 4 Sn 3.43
Sn  0.0000  0.0000  0.5000  4 Pd 2.80
Sn  0.5000  0.0000  0.8758  5 Pd 2.60-2.69
Sn  0.0000  0.5000  0.1242  5 Pd 2.60-2.69
Ca  0.5000  0.5000  0.5000  4 Pd 2.80

=====

# 4
Entry from the Alexandria database: crystalline Tb6CeDy3Ho2 at its relaxed geometry (PBE).

Space group ... C2/m
DFT formation energy ... 0.035 eV per atom
Magnetic moment ... 1.168 μB/f.u.
Volume ... 379 Å³ per cell

Cell lengths 6.1450, 6.1450, 11.7693 Å; angles 94.99, 94.99, 119.98 degrees
Last column: nearest neighbours and their distance in Å.
Fractional positions:
Tb  0.0836  0.4150  0.2496  6 Tb 3.53-3.56, 1 Ce 3.54, 2 Ho 3.55, 3 Dy 3.55
Tb  0.4150  0.0836  0.2496  6 Tb 3.53-3.56, 1 Ce 3.54, 2 Ho 3.55, 3 Dy 3.55
Tb  0.2480  0.2480  0.7502  6 Tb 3.53-3.56, 1 Ce 3.54, 2 Ho 3.55, 3 Dy 3.55-3.56
Tb  0.5850  0.9164  0.7504  6 Tb 3.53-3.56, 1 Ce 3.54, 2 Ho 3.55, 3 Dy 3.55
Tb  0.9164  0.5850  0.7504  6 Tb 3.53-3.56, 1 Ce 3.54, 2 Ho 3.55, 3 Dy 3.55
Tb  0.7520  0.7520  0.2498  6 Tb 3.53-3.56, 1 Ce 3.54, 2 Ho 3.55, 3 Dy 3.55-3.56
Ho  0.3334  0.6666  0.0000  3 Ho 3.55, 6 Tb 3.55, 3 Ce 3.55
Ho  0.6666  0.3334  0.0000  3 Ho 3.55, 6 Tb 3.55, 3 Ce 3.55
Dy  0.8326  0.1674  0.5000  6 Dy 3.54-3.56, 6 Tb 3.55
Dy  0.5000  0.5000  0.5000  6 Dy 3.54-3.55, 6 Tb 3.55-3.56
Dy  0.1674  0.8326  0.5000  6 Dy 3.54-3.56, 6 Tb 3.55
Ce  0.0000  0.0000  0.0000  6 Tb 3.54, 6 Ho 3.55

=====

# 5
Entry from the Alexandria database: crystalline NaMg2Pd at its relaxed geometry (PBE).

Space group ... R3m
DFT formation energy ... -0.193 eV per atom
Magnetic moment ... 0.000 μB/f.u.
Volume ... 98 Å³ per cell

Cell lengths 4.4732, 4.4732, 6.1916 Å; angles 68.82, 68.82, 60.00 degrees
Last column: nearest neighbours and their distance in Å.
Fractional positions:
Mg  0.0465  0.0465  0.8604  3 Pd 2.66
Mg  0.2839  0.2839  0.1483  3 Pd 2.77, 3 Mg 3.05
Pd  0.6762  0.6762  0.9714  6 Mg 2.66-2.77
Na  0.4934  0.4934  0.5199  1 Pd 3.09, 6 Mg 3.22-3.32

=====

# 6
Entry from the Alexandria database: crystalline Li4CaCd4 at its relaxed geometry (PBE).

Space group ... I4/mmm
DFT formation energy ... -0.162 eV per atom
Magnetic moment ... 0.000 μB/f.u.
Volume ... 397 Å³ per cell

Cell lengths 4.4202, 9.4719, 9.4719 Å; angles 90.00, 90.00, 90.00 degrees
Last column: nearest neighbours and their distance in Å.
Fractional positions:
Cd  0.9989  0.9999  0.3347  6 Li 3.00-3.16, 5 Cd 3.13, 1 Ca 3.17
Cd  0.5011  0.4999  0.8347  6 Li 3.00-3.16, 5 Cd 3.13, 1 Ca 3.17
Cd  0.0011  0.6653  0.9999  6 Li 3.00-3.16, 5 Cd 3.13, 1 Ca 3.17
Cd  0.4989  0.8347  0.5001  6 Li 3.00-3.16, 5 Cd 3.13, 1 Ca 3.17
Cd  0.9989  0.0001  0.6653  6 Li 3.00-3.16, 5 Cd 3.13, 1 Ca 3.17
Cd  0.0011  0.3347  0.0001  6 Li 3.00-3.16, 5 Cd 3.13, 1 Ca 3.17
Cd  0.5011  0.5001  0.1653  6 Li 3.00-3.16, 5 Cd 3.13, 1 Ca 3.17
Cd  0.4989  0.1653  0.4999  6 Li 3.00-3.16, 5 Cd 3.13, 1 Ca 3.17
Li  0.5000  0.1837  0.1835  2 Li 2.84, 6 Cd 3.00-3.16
Li  0.5000  0.1835  0.8163  2 Li 2.84, 6 Cd 3.00-3.16
Li  0.0000  0.3163  0.3165  2 Li 2.84, 6 Cd 3.00-3.16
Li  0.5000  0.8163  0.8165  2 Li 2.84, 6 Cd 3.00-3.16
Li  0.5000  0.8165  0.1837  2 Li 2.84, 6 Cd 3.00-3.16
Li  0.0000  0.6835  0.3163  2 Li 2.84, 6 Cd 3.00-3.16
Li  0.0000  0.3165  0.6837  2 Li 2.84, 6 Cd 3.00-3.16
Li  0.0000  0.6837  0.6835  2 Li 2.84, 6 Cd 3.00-3.16
Ca  0.5000  0.5000  0.5000  4 Cd 3.17, 8 Li 3.31
Ca  0.0000  0.0000  0.0000  4 Cd 3.17, 8 Li 3.31

=====

Which of these has the lowest volume? NaMg2Pd